The following is a PBE calculation of a relaxed structure of NdReNO, from OQMD via LeMat-Bulk.

Unit cell a=3.8337 b=3.8337 c=8.1284 alpha=90.00 beta=90.00 gamma=90.00
Closest atoms and distances in Å follow each position.
Space group P4/nmm (No. 129, origin choice 2)
Unique sites:
1 Nd 0.2500 0.2500 0.1547  4 O 2.29
2 Re 0.2500 0.7500 0.5000  4 N 2.15
3 N 0.2500 0.2500 0.6185  4 Re 2.15
4 O 0.2500 0.7500 0.0000  4 Nd 2.29

Output
- distance to the lowest polymorph of the same formula (eV per atom) = 0.253
- DFT total energy (eV/cell) = -70.629
- crystal system = tetragonal
- mass density (Mg/m³) = 10.02